{"formula": "TcBr2F", "functional": "meta-GGA SCAN", "state": "single point on PBEsol structure", "cell": [[6.057, 0.207, 0.294], [-2.822, 5.363, -0.294], [-2.822, -2.086, 4.950]], "species": ["F", "F", "Br", "Br", "Br", "Br", "Tc", "Tc"], "frac_coords": [[0.000, 0.500, 0.500], [0.500, 0.250, 0.750], [0.468, 0.375, 0.343], [0.532, 0.875, 0.907], [0.032, 0.657, 0.125], [0.968, 0.093, 0.625], [0.000, 0.000, 0.000], [0.500, 0.750, 0.250]], "formation_energy_uncorrected_ev_per_fu": -0.23, "de_polymorph_ev_per_atom": 0.031}